1.
VASP calculation (PBE) on an optimized crystal structure of Nd3Hg5Bi.

## Properties
**ΔE_f**: -0.463 eV/atom
**Crystal system**: hexagonal

Cell lengths 6.599, 9.257, 9.257 Å; angles 120.00, 90.00, 90.00 degrees
Sites, in units of the cell vectors:
Nd 0.250 0.678 0.678
Nd 0.250 0.000 0.322
Nd 0.750 0.678 0.000
Nd 0.250 0.322 0.000
Nd 0.750 0.000 0.678
Nd 0.750 0.322 0.322
Bi 0.500 0.000 0.000
Bi 0.000 0.000 0.000
Hg 0.750 0.000 0.352
Hg 0.750 0.648 0.648
Hg 0.500 0.667 0.333
Hg 0.250 0.352 0.352
Hg 0.250 0.000 0.648
Hg 0.750 0.352 0.000
Hg 0.000 0.333 0.667
Hg 0.250 0.648 0.000
Hg 0.500 0.333 0.667
Hg 0.000 0.667 0.333

***

2.
VASP calculation (PBE) on an optimized crystal structure of LaP2Os.

## Properties
**ΔE_f**: 0.357 eV/atom
**Crystal system**: cubic
**Offset from the most stable computed form**: 1233 meV per atom

Cell lengths 4.723, 4.723, 4.723 Å; angles 60.00, 60.00, 60.00 degrees
Sites, in units of the cell vectors:
La 0.500 0.500 0.500
P 0.000 0.000 0.000
P 0.750 0.750 0.750
Os 0.250 0.250 0.250

***

3.
VASP calculation (PBE) on an optimized crystal structure of Pm3Ho3PuTe8.

## Properties
**Crystal system**: trigonal
**Uncorrected formation energy**: -1.346 eV/atom

Cell lengths 8.771, 8.771, 8.794 Å; angles 119.91, 90.00, 120.00 degrees
Site moments in Bohr magnetons follow the coordinates.
Sites, in units of the cell vectors:
Te 0.257 0.993 0.750  -0.02
Te 0.743 0.487 0.250  -0.02
Te 0.257 0.513 0.750  -0.02
Te 0.743 0.007 0.250  -0.02
Te 0.747 0.493 0.740  0.00
Te 0.736 0.993 0.750  -0.02
Te 0.253 0.507 0.260  0.00
Te 0.264 0.007 0.250  -0.02
Ho 0.500 0.000 0.500  0.05
Ho 0.000 0.500 0.500  0.05
Ho 0.500 0.500 0.500  0.05
Pu 0.000 0.000 0.500  5.50
Pm 0.500 0.500 0.000  0.04
Pm 0.000 0.500 0.000  0.04
Pm 0.000 0.000 0.000  0.04

***

Number 1: calculated density 11154 kg/m3, E_tot -2.651 eV/atom. Number 2: calculated density 8715 kg/m3, E_tot -6.387 eV/atom. Number 3: calculated density 7609 kg/m3, E_tot -5.843 eV/atom.